(1)
10
Lattice="3.9131 0.0000 0.0000 0.0000 6.2190 -0.6352 0.0000 -2.0664 7.1551" Properties=species:S:1:pos:R:3 comment="HfPaSN2, optimized geometry, DFT PBE" spacegroup=P2_1/m e_form_raw_ev_per_atom=-1.684 pbc="T T T"
S 0.9783 -1.2956 5.2250
S 2.9348 5.4482 1.2949
N 0.9783 1.7438 4.1112
N 2.9348 1.4175 5.9735
N 0.9783 2.7351 0.5464
N 2.9348 2.4087 2.4088
Hf 0.9783 3.2294 2.6413
Hf 2.9348 0.9232 3.8787
Pa 2.9348 1.6813 0.2324
Pa 0.9783 2.4713 6.2875

---

(2)
4
Lattice="6.3653 0.4743 0.1422 5.2903 3.5714 0.1422 1.9735 0.6850 4.7433" Properties=species:S:1:pos:R:3 comment="LaIn2Ru, optimized geometry, DFT PBE" spacegroup=C2/m ef_kj_per_mol_atoms=-15.2 pbc="T T T"
La 10.2218 3.5481 3.7708
Ru 3.4073 1.1827 1.2569
In 11.2310 3.8984 0.4818
In 7.2391 2.5128 2.3165

---

(3)
16
Lattice="-0.5932 -5.0874 0.1547 5.4615 -0.5321 3.4439 -5.1626 0.8549 8.3192" Properties=species:S:1:pos:R:3 comment="YSc3Al4, optimized geometry, DFT PBE" spacegroup=Pmma ef_kj_per_mol_atoms=-41.4 pbc="T T T"
Al -1.6009 -2.2407 5.0422
Al 0.9804 -2.6681 0.8826
Al 1.3066 -2.5240 6.8755
Al -0.5319 -4.3566 3.0203
Al 0.2375 -0.4080 8.8974
Al 2.3752 -4.6399 4.8535
Al -2.6695 -0.1248 7.0643
Al 3.8879 -2.9514 2.7159
Sc 1.1977 -2.1311 3.8649
Sc -1.4920 -2.6335 8.0528
Sc 0.0000 0.0000 0.0000
Sc -1.5169 -1.7263 2.1388
Sc -2.5813 0.4274 4.1596
Sc -4.2389 -2.5062 6.3351
Y 0.1494 0.1614 5.8815
Y 2.7307 -0.2661 1.7219

---

(4)
4
Lattice="5.1508 0.0011 0.0000 2.6894 4.3929 0.0000 -3.9201 -2.1970 2.5172" Properties=species:S:1:pos:R:3 comment="ZnCrP2, optimized geometry, DFT PBE" spacegroup=I-4m2 ef_kj_per_mol_atoms=20.2 pbc="T T T"
P 1.3447 2.1964 1.2586
P 0.0000 0.0000 0.0000
Zn 3.9201 2.1970 0.0000
Cr 2.5754 0.0006 1.2586

---

(5)
12
Lattice="-5.7027 3.3565 -0.5637 -3.3459 -5.3271 2.1288 5.1997 3.2719 6.0011" Properties=species:S:1:pos:R:3 comment="KLaCu2Cl8, optimized geometry, DFT PBE" spacegroup=I-4 e_form_raw_ev_per_atom=-1.308 pbc="T T T"
Cl -0.2471 -2.9937 5.8032
Cl -0.5307 3.4997 5.2692
Cl 0.3983 -0.9077 3.1185
Cl -6.0417 -1.6132 2.3709
Cl -2.7897 0.3780 1.3759
Cl -2.2536 0.5285 4.8157
Cl 1.6642 0.3382 6.1164
Cl -3.2387 -2.7080 4.0874
Cu -1.3353 -1.5203 4.4562
Cu -4.5243 -0.9853 0.7825
K 0.0000 0.0000 0.0000
La -2.5137 2.8216 3.1100

---

(6)
4
Lattice="-1.1066 2.3548 -1.5168 -2.1870 -1.6630 -0.9861 -5.6095 -0.0810 3.9667" Properties=species:S:1:pos:R:3 comment="Mn2SiSe, optimized geometry, DFT PBE" spacegroup=P2/m e_form_raw_ev_per_atom=0.052 e_above_lowest_polymorph_mev_per_atom=159 pbc="T T T"
Si -6.4007 -0.1306 1.4771
Mn -3.9964 -0.8232 1.6377
Mn -5.5113 -0.1298 3.8193
Se -2.5024 0.7414 -0.0133

---

(7)
4
Lattice="8.5934 -0.0183 -0.0109 7.9404 3.2857 -0.0109 7.9404 1.5692 2.8868" Properties=species:S:1:pos:R:3 comment="LiTcSb2, optimized geometry, DFT PBE" spacegroup=R-3m e_form_raw_ev_per_atom=-0.112 e_above_lowest_polymorph_mev_per_atom=60 pbc="T T T"
Tc 6.1185 1.2091 0.7163
Sb 24.2992 4.8020 2.8446
Sb 12.4121 2.4529 1.4530
Li 18.3556 3.6274 2.1488

---

(8)
4
Lattice="4.5895 0.0000 0.0000 0.0000 4.4487 0.0000 0.0000 0.0000 4.4487" Properties=species:S:1:pos:R:3 comment="Pu2RhPb, optimized geometry, DFT PBE" spacegroup=P4/mmm ef_kj_per_mol_atoms=-17.5 e_above_lowest_polymorph_mev_per_atom=130 pbc="T T T"
Pb 2.2948 2.2244 2.2244
Rh 2.2948 0.0000 0.0000
Pu 0.0000 0.0000 2.2244
Pu 0.0000 2.2244 0.0000

---

no.,raw total energy (eV per atom),total magnetic moment (μB/f.u.)
1,-9.73,1.03
2,-5.08,0.00
3,-5.48,0.00
4,-5.22,2.58
5,-3.72,2.09
6,-6.76,4.52
7,-5.24,0.00
8,-10.11,11.12